Li2CaSc2Pb2 | PBE-GGA | relaxed

Geometry as extended XYZ:
```
7
Lattice="-4.525 -0.719 -1.345 -1.290 -4.188 -1.895 -3.822 -4.654 6.874" Properties=species:S:1:pos:R:3 pbc="T T T"
Li -5.229 -5.439 3.550
Pb -7.252 -7.211 2.829
Sc -3.066 -3.443 3.681
Pb -2.385 -2.351 0.805
Sc -6.571 -6.120 -0.047
Ca 0.000 0.000 0.000
Li -4.408 -4.123 0.084
```

* space group: R-3m
* energy relative to the elements: -0.335 eV/atom